# 1
This record from Alexandria describes Ac5TmCd4 after structural relaxation. The functional is PBE-GGA.

Lattice parameters (Å, degrees): 4.051 4.051 21.173 90.00 90.00 90.00
Atoms (fractional coordinates):
Ac 0.000 0.000 0.000
Ac 0.000 0.000 0.194
Ac 0.000 0.000 0.388
Ac 0.000 0.000 0.612
Ac 0.000 0.000 0.806
Tm 0.500 0.500 0.500
Cd 0.500 0.500 0.096
Cd 0.500 0.500 0.293
Cd 0.500 0.500 0.707
Cd 0.500 0.500 0.904

Properties
Fermi-level density of states: 13.3 states/eV/f.u.
total energy: -30.79 eV/cell
magnetization: 0.00 μB per cell
SG: No. 123
E_form: -20.4 kJ per mole of atoms
volume: 347.5 Å³ per cell

***

# 2
This record from Alexandria describes Sc3CdAu after structural relaxation. The functional is PBE-GGA.

Lattice parameters (Å, degrees): 5.218 5.218 5.218 90.00 90.00 90.00
Atoms (fractional coordinates):
Sc 0.000 0.000 0.500
Sc 0.000 0.500 0.000
Sc 0.500 0.000 0.000
Cd 0.000 0.000 0.000
Au 0.500 0.500 0.500

Properties
Fermi-level density of states: 8.7 states/eV/f.u.
total energy: -20.53 eV/cell
magnetization: 0.00 μB per cell
SG: No. 221
E_form: 51.2 kJ per mole of atoms
volume: 142.1 Å³ per cell